1.
# SnHgPb2Cl8, relaxed, DFT GGA-PBE
# Calculated total energy ... -37.9 eV for the cell shown
# Magnetic moment ... 0.00 μB per formula unit
data_SnHgPb2Cl8
_space_group_name_H-M_alt 'P -1'
_space_group_IT_number 2
_cell_length_a 6.4906
_cell_length_b 6.7829
_cell_length_c 8.6421
_cell_angle_alpha 90.13
_cell_angle_beta 90.15
_cell_angle_gamma 90.38
loop_
_space_group_symop_operation_xyz
'x,y,z'
'-x,-y,-z'
loop_
_atom_site_label
_atom_site_fract_x
_atom_site_fract_y
_atom_site_fract_z
_atom_site_occupancy
Sn1 0.0000 0.0000 0.0000 1
Hg1 0.0000 0.0000 0.5000 1
Pb1 0.4998 0.4996 0.2563 1
Cl1 0.2201 0.1556 0.7365 1
Cl2 0.2228 0.1572 0.2622 1
Cl3 0.2550 0.6728 0.4998 1
Cl4 0.2653 0.6677 0.9999 1

2.
# Sn2HgPbCl8, relaxed, DFT GGA-PBE
# Calculated total energy ... -37.9 eV for the cell shown
# Magnetic moment ... 0.00 μB per formula unit
data_Sn2HgPbCl8
_space_group_name_H-M_alt 'P -1'
_space_group_IT_number 2
_cell_length_a 6.5836
_cell_length_b 6.9501
_cell_length_c 8.6901
_cell_angle_alpha 86.50
_cell_angle_beta 87.88
_cell_angle_gamma 89.80
loop_
_space_group_symop_operation_xyz
'x,y,z'
'-x,-y,-z'
loop_
_atom_site_label
_atom_site_fract_x
_atom_site_fract_y
_atom_site_fract_z
_atom_site_occupancy
Sn1 0.0065 0.0224 0.2565 1
Hg1 0.5000 0.5000 0.5000 1
Pb1 0.5000 0.5000 0.0000 1
Cl1 0.2243 0.3443 0.2481 1
Cl2 0.2334 0.8495 0.5262 1
Cl3 0.2420 0.8343 0.9654 1
Cl4 0.3235 0.3428 0.7207 1

3.
# Sr2HgPbCl8, relaxed, DFT GGA-PBE
# Calculated total energy ... -41.9 eV for the cell shown
# Magnetic moment ... 0.00 μB per formula unit
data_Sr2HgPbCl8
_space_group_name_H-M_alt 'P 1 2/m 1'
_space_group_IT_number 10
_cell_length_a 6.5256
_cell_length_b 8.8131
_cell_length_c 6.7169
_cell_angle_alpha 90.00
_cell_angle_beta 90.21
_cell_angle_gamma 90.00
loop_
_space_group_symop_operation_xyz
'x,y,z'
'-x,-y,-z'
'-x,y,-z'
'x,-y,z'
loop_
_atom_site_label
_atom_site_fract_x
_atom_site_fract_y
_atom_site_fract_z
_atom_site_occupancy
Sr1 0.0000 0.2432 0.0000 1
Hg1 0.5000 0.0000 0.5000 1
Pb1 0.5000 0.5000 0.5000 1
Cl1 0.2240 0.5000 0.1615 1
Cl2 0.2369 0.0000 0.1772 1
Cl3 0.2820 0.2350 0.6595 1

4.
# TlHgPb2Cl8, relaxed, DFT GGA-PBE
# Calculated total energy ... -35.3 eV for the cell shown
# Magnetic moment ... 0.00 μB per formula unit
data_TlHgPb2Cl8
_space_group_name_H-M_alt 'P -1'
_space_group_IT_number 2
_cell_length_a 6.5658
_cell_length_b 6.9420
_cell_length_c 8.6034
_cell_angle_alpha 92.48
_cell_angle_beta 92.77
_cell_angle_gamma 90.33
loop_
_space_group_symop_operation_xyz
'x,y,z'
'-x,-y,-z'
loop_
_atom_site_label
_atom_site_fract_x
_atom_site_fract_y
_atom_site_fract_z
_atom_site_occupancy
Tl1 0.0000 0.0000 0.0000 1
Hg1 0.0000 0.0000 0.5000 1
Pb1 0.4985 0.4935 0.2553 1
Cl1 0.2070 0.1433 0.7204 1
Cl2 0.2449 0.1730 0.2505 1
Cl3 0.2640 0.6617 0.4953 1
Cl4 0.2655 0.6761 0.9992 1